A plane-wave DFT calculation with GGA-PBEsol was carried out for a relaxed structure of AlRe2W.

Computed properties:
E_form in eV per formula unit: -0.02
M_tot in μB/f.u.: 0.00
Space-group type: Pm
Uncorrected energy in eV per atom: -11.15

Cell: 2.7362 4.2710 5.1880 Å, 90.00 104.35 90.00°
Last column: nearest neighbours and their distance in Å.
Fractional positions:
Re1 0.0057 0.0000 0.9986  2 W 2.55-2.69, 2 Al 2.64, 4 Re 2.69-2.74
Re2 0.7318 0.5000 0.2438  2 Al 2.60-2.63, 2 W 2.66, 4 Re 2.69-2.74
Al1 0.2219 0.5000 0.7494  4 Re 2.60-2.64, 4 W 2.73-2.91, 2 Al 2.74
W1 0.5407 0.0000 0.5083  4 Re 2.55-2.69, 2 Al 2.73, 2 W 2.74